A relaxed structure of BaLa2TlIr, computed with PBE.

```
5
Lattice="-3.809 3.795 1.717 -3.060 -0.971 -4.642 -2.761 -3.970 2.650" Properties=species:S:1:pos:R:3 pbc="T T T"
Tl -1.380 -1.985 1.325
Ir 0.000 0.000 0.000
Ba -4.815 -0.573 -0.137
La -1.530 -0.485 -2.321
La -1.904 1.897 0.859
```

Properties
**E**: -24.39 eV/f.u.
**Theoretical density**: 7.67 g/cm3
**Symmetry**: No. 123
**Formation enthalpy at 0 K**: -0.2763 eV/atom
**Offset from the most stable computed form**: 0.036 eV per atom